# 1
DFT (GGA-PBE) results for crystalline TbHfGa2Ni5 at its relaxed geometry.

## Properties
SG = No. 123
Energy relative to the elements = -289 meV/atom
N(E_F) = 8.3 states/eV per cell
V = 14.78 Å³/atom

a = 3.9010 Å, b = 3.9010 Å, c = 8.7434 Å
α = 90.00°, β = 90.00°, γ = 90.00°
With the nearest neighbours (Å) after each atom.
Sites, in units of the cell vectors:
1 Tb 0.0000 0.0000 0.0000  12 Ni 2.74-2.76
2 Hf 0.0000 0.0000 0.5000  8 Ga 3.00, 8 Ni 3.12
3 Ga 0.5000 0.5000 0.3639  4 Ni 2.32, 1 Ga 2.38
4 Ga 0.5000 0.5000 0.6361  4 Ni 2.32, 1 Ga 2.38
5 Ni 0.0000 0.5000 0.2209  2 Ga 2.32
6 Ni 0.0000 0.5000 0.7791  2 Ga 2.32
7 Ni 0.5000 0.0000 0.2209  2 Ga 2.32
8 Ni 0.5000 0.0000 0.7791  2 Ga 2.32
9 Ni 0.5000 0.5000 0.0000  8 Ni 2.74, 4 Tb 2.76

# 2
DFT (GGA-PBE) results for crystalline ZnMoAu2 at its relaxed geometry.

## Properties
SG = No. 160
Energy relative to the elements = 157 meV/atom
N(E_F) = 4.0 states/eV per cell
V = 16.68 Å³/atom

a = 9.3620 Å, b = 9.3620 Å, c = 9.3620 Å
α = 17.77°, β = 17.77°, γ = 17.77°
With the nearest neighbours (Å) after each atom.
Sites, in units of the cell vectors:
1 Zn 0.0000 0.0000 0.0000  3 Mo 2.77, 3 Au 2.77, 6 Zn 2.89
2 Mo 0.7465 0.7465 0.7465  3 Zn 2.77, 3 Au 2.84, 6 Mo 2.89
3 Au 0.2532 0.2532 0.2532  3 Zn 2.77, 9 Au 2.89-3.00
4 Au 0.4962 0.4962 0.4962  3 Mo 2.84, 9 Au 2.89-3.00

# 3
DFT (GGA-PBE) results for crystalline ErBiO at its relaxed geometry.

## Properties
SG = No. 2
E_form (uncorrected) = -2.133 eV/atom
N(E_F) = 0.8 states/eV per cell
V = 22.82 Å³/atom
E above lowest polymorph = 0 meV/atom

a = 3.8166 Å, b = 3.8167 Å, c = 9.4050 Å
α = 88.56°, β = 88.65°, γ = 89.89°
With the nearest neighbours (Å) after each atom.
Sites, in units of the cell vectors:
1 Er 0.2443 0.2439 0.1173  4 O 2.20-2.21
2 Er 0.7557 0.7561 0.8827  4 O 2.20-2.21
3 Bi 0.2775 0.2792 0.6261  3 Bi 3.31-3.62, 4 Er 3.59-3.65
4 Bi 0.7225 0.7208 0.3739  3 Bi 3.31-3.62, 4 Er 3.59-3.65
5 O 0.2495 0.7506 0.0000  4 Er 2.20-2.21
6 O 0.7505 0.2494 0.0000  4 Er 2.20-2.21

# 4
DFT (GGA-PBE) results for crystalline K2Li2PaSe4 at its relaxed geometry.

## Properties
SG = No. 12
E_form (uncorrected) = -1.354 eV/atom
N(E_F) = 5.2 states/eV per cell
V = 27.08 Å³/atom

a = 8.0401 Å, b = 8.0401 Å, c = 7.8563 Å
α = 109.56°, β = 109.56°, γ = 30.78°
With the nearest neighbours (Å) after each atom.
Sites, in units of the cell vectors:
1 K 0.1387 0.1387 0.0638  7 Se 3.42-3.56, 3 Li 3.65-3.82
2 K 0.8613 0.8613 0.9362  7 Se 3.42-3.56, 3 Li 3.65-3.82
3 Li 0.3179 0.3179 0.5112  4 Se 2.55-2.62
4 Li 0.6821 0.6821 0.4888  4 Se 2.55-2.62
5 Pa 0.0000 0.0000 0.5000  6 Se 2.87-2.90
6 Se 0.1964 0.1964 0.6747  3 Li 2.55-2.62
7 Se 0.4837 0.4837 0.7363  1 Li 2.57
8 Se 0.5163 0.5163 0.2637  1 Li 2.57
9 Se 0.8036 0.8036 0.3253  3 Li 2.55-2.62

# 5
DFT (GGA-PBE) results for crystalline Sm5Tl2Sn at its relaxed geometry.

## Properties
SG = No. 140
Energy relative to the elements = -415 meV/atom
N(E_F) = 14.1 states/eV per cell
V = 30.48 Å³/atom

a = 8.9736 Å, b = 8.9736 Å, c = 8.9736 Å
α = 122.78°, β = 122.78°, γ = 85.25°
With the nearest neighbours (Å) after each atom.
Sites, in units of the cell vectors:
1 Sm 0.0000 0.0000 0.0000  2 Sn 3.30, 4 Tl 3.31
2 Sm 0.0060 0.5060 0.8153  3 Tl 3.16-3.26, 1 Sm 3.43, 2 Sn 3.49
3 Sm 0.1907 0.0060 0.5000  3 Tl 3.16-3.26, 1 Sm 3.43, 2 Sn 3.49
4 Sm 0.3093 0.8093 0.8153  3 Tl 3.16-3.26, 1 Sm 3.43, 2 Sn 3.49
5 Sm 0.4940 0.3093 0.5000  3 Tl 3.16-3.26, 1 Sm 3.43, 2 Sn 3.49
6 Sm 0.5000 0.5000 0.0000  2 Sn 3.30, 4 Tl 3.31
7 Sm 0.5060 0.6907 0.5000  3 Tl 3.16-3.26, 1 Sm 3.43, 2 Sn 3.49
8 Sm 0.6907 0.1907 0.1847  3 Tl 3.16-3.26, 1 Sm 3.43, 2 Sn 3.49
9 Sm 0.8093 0.9940 0.5000  3 Tl 3.16-3.26, 1 Sm 3.43, 2 Sn 3.49
10 Sm 0.9940 0.4940 0.1847  3 Tl 3.16-3.26, 1 Sm 3.43, 2 Sn 3.49
11 Tl 0.1414 0.3586 0.5000  8 Sm 3.16-3.31, 1 Tl 3.44
12 Tl 0.3586 0.8586 0.2173  8 Sm 3.16-3.31, 1 Tl 3.44
13 Tl 0.6414 0.1414 0.7827  8 Sm 3.16-3.31, 1 Tl 3.44
14 Tl 0.8586 0.6414 0.5000  8 Sm 3.16-3.31, 1 Tl 3.44
15 Sn 0.2500 0.2500 0.0000  10 Sm 3.30-3.49
16 Sn 0.7500 0.7500 0.0000  10 Sm 3.30-3.49

# 6
DFT (GGA-PBE) results for crystalline NpZn9In2 at its relaxed geometry.

## Properties
SG = No. 166
Energy relative to the elements = 37 meV/atom
N(E_F) = 13.0 states/eV per cell
V = 17.94 Å³/atom

a = 8.9934 Å, b = 8.9934 Å, c = 8.9934 Å
α = 35.14°, β = 35.14°, γ = 35.14°
With the nearest neighbours (Å) after each atom.
Sites, in units of the cell vectors:
1 Np 0.0000 0.0000 0.0000  18 Zn 3.13-3.44, 2 In 3.47
2 Zn 0.0815 0.5846 0.5846  7 Zn 2.60-2.73
3 Zn 0.3322 0.3322 0.3322  6 Zn 2.60-2.66
4 Zn 0.4154 0.4154 0.9185  7 Zn 2.60-2.73
5 Zn 0.4154 0.9185 0.4154  7 Zn 2.60-2.73
6 Zn 0.5000 0.5000 0.5000  6 Zn 2.63
7 Zn 0.5846 0.0815 0.5846  7 Zn 2.60-2.73
8 Zn 0.5846 0.5846 0.0815  7 Zn 2.60-2.73
9 Zn 0.6678 0.6678 0.6678  6 Zn 2.60-2.66
10 Zn 0.9185 0.4154 0.4154  7 Zn 2.60-2.73
11 In 0.1374 0.1374 0.1374  12 Zn 3.04-3.24
12 In 0.8626 0.8626 0.8626  12 Zn 3.04-3.24

# 7
DFT (GGA-PBE) results for crystalline Y3Tl3SnS8 at its relaxed geometry.

## Properties
SG = No. 166
E_form (uncorrected) = -1.251 eV/atom
N(E_F) = 0.4 states/eV per cell
V = 27.85 Å³/atom

a = 8.9140 Å, b = 8.9140 Å, c = 8.9140 Å
α = 52.93°, β = 52.93°, γ = 52.93°
With the nearest neighbours (Å) after each atom.
Sites, in units of the cell vectors:
1 Y 0.0000 0.5000 0.5000  6 S 2.74-2.77
2 Y 0.5000 0.0000 0.5000  6 S 2.74-2.77
3 Y 0.5000 0.5000 0.0000  6 S 2.74-2.77
4 Tl 0.0000 0.0000 0.5000  6 S 3.25-3.26
5 Tl 0.0000 0.5000 0.0000  6 S 3.25-3.26
6 Tl 0.5000 0.0000 0.0000  6 S 3.25-3.26
7 Sn 0.0000 0.0000 0.0000  6 S 2.63
8 S 0.2222 0.2222 0.7472  1 Sn 2.63, 2 Y 2.77
9 S 0.2222 0.7472 0.2222  1 Sn 2.63, 2 Y 2.77
10 S 0.2528 0.7778 0.7778  1 Sn 2.63, 2 Y 2.77
11 S 0.2679 0.2679 0.2679  3 Y 2.74
12 S 0.7321 0.7321 0.7321  3 Y 2.74
13 S 0.7472 0.2222 0.2222  1 Sn 2.63, 2 Y 2.77
14 S 0.7778 0.2528 0.7778  1 Sn 2.63, 2 Y 2.77
15 S 0.7778 0.7778 0.2528  1 Sn 2.63, 2 Y 2.77

# 8
DFT (GGA-PBE) results for crystalline ReHg2P at its relaxed geometry.

## Properties
SG = No. 65
Energy relative to the elements = 884 meV/atom
N(E_F) = 2.2 states/eV per cell
V = 18.86 Å³/atom

a = 2.9227 Å, b = 2.9227 Å, c = 10.4525 Å
α = 90.00°, β = 90.00°, γ = 122.34°
With the nearest neighbours (Å) after each atom.
Sites, in units of the cell vectors:
1 Re 0.0000 0.0000 0.0000  6 Re 2.82-2.92, 4 Hg 2.91
2 Hg 0.5000 0.5000 0.2440  6 Hg 2.82-2.92, 2 Re 2.91, 2 P 3.02
3 Hg 0.5000 0.5000 0.7560  6 Hg 2.82-2.92, 2 Re 2.91, 2 P 3.02
4 P 0.0000 0.0000 0.5000  6 P 2.82-2.92, 4 Hg 3.02